<1>
! Pr2Tm3Zn2 | Alexandria via LeMat-Bulk | PBE | relaxed; values from VASP
&SYSTEM
  ibrav = 0, nat = 7, ntyp = 3
/
ATOMIC_SPECIES
Pr 140.91 Pr.upf
Tm 168.93 Tm.upf
Zn 65.41 Zn.upf
CELL_PARAMETERS angstrom
1.8082 -15.2584 0.0000
1.8082 15.2584 0.0000
0.0000 0.0000 3.5143
ATOMIC_POSITIONS crystal
Pr 0.1977 0.8023 0.0000
Pr 0.8023 0.1977 0.0000
Tm 0.0796 0.9204 0.0000
Tm 0.5000 0.5000 0.5000
Tm 0.9204 0.0796 0.0000
Zn 0.3666 0.6334 0.5000
Zn 0.6334 0.3666 0.5000
! Size of the total moment ... 0.00 μB/f.u.
! Space-group type ... Cmmm
! D(E_F) ... 7.5 states/eV per cell

=====

<2>
! Pr2Tm3Zn2 | Alexandria via LeMat-Bulk | PBE | relaxed; values from VASP
&SYSTEM
  ibrav = 0, nat = 7, ntyp = 3
/
ATOMIC_SPECIES
Pr 140.91 Pr.upf
Tm 168.93 Tm.upf
Zn 65.41 Zn.upf
CELL_PARAMETERS angstrom
5.7966 -2.3706 0.0000
5.7966 2.3706 0.0000
-3.7129 0.0000 7.1751
ATOMIC_POSITIONS crystal
Pr 0.1366 0.1366 0.2917
Pr 0.8634 0.8634 0.7083
Tm 0.3656 0.3656 0.0386
Tm 0.5000 0.5000 0.5000
Tm 0.6344 0.6344 0.9614
Zn 0.1419 0.1419 0.6944
Zn 0.8581 0.8581 0.3056
! Size of the total moment ... 0.00 μB/f.u.
! Space-group type ... C2/m
! D(E_F) ... 9.3 states/eV per cell

=====

Name the least stable of them. <2>.

=====

<1>
! PrTm3Zr | Alexandria via LeMat-Bulk | PBE | relaxed; values from VASP
&SYSTEM
  ibrav = 0, nat = 10, ntyp = 3
/
ATOMIC_SPECIES
Pr 140.91 Pr.upf
Tm 168.93 Tm.upf
Zr 91.22 Zr.upf
CELL_PARAMETERS angstrom
6.0039 0.0000 0.0000
2.0008 6.6823 0.0000
1.9021 1.2348 7.3266
ATOMIC_POSITIONS crystal
Pr 0.0939 0.1640 0.2898
Pr 0.9061 0.8360 0.7102
Tm 0.1024 0.6453 0.2829
Tm 0.3093 0.9399 0.9012
Tm 0.4990 0.2624 0.5036
Tm 0.5010 0.7376 0.4964
Tm 0.6907 0.0601 0.0988
Tm 0.8976 0.3547 0.7171
Zr 0.3221 0.4557 0.8993
Zr 0.6779 0.5443 0.1007
! Size of the total moment ... 0.00 μB/f.u.
! Space-group type ... P-1
! D(E_F) ... 12.6 states/eV per cell

=====

<2>
! PrTm3Zr | Alexandria via LeMat-Bulk | PBE | relaxed; values from VASP
&SYSTEM
  ibrav = 0, nat = 10, ntyp = 3
/
ATOMIC_SPECIES
Pr 140.91 Pr.upf
Tm 168.93 Tm.upf
Zr 91.22 Zr.upf
CELL_PARAMETERS angstrom
6.3391 -1.7515 0.0000
6.3391 1.7515 0.0000
-0.9807 0.0000 13.4035
ATOMIC_POSITIONS crystal
Pr 0.1618 0.1618 0.4119
Pr 0.8382 0.8382 0.5881
Tm 0.0304 0.0304 0.1661
Tm 0.2331 0.2331 0.7997
Tm 0.4281 0.4281 0.3748
Tm 0.5719 0.5719 0.6252
Tm 0.7669 0.7669 0.2003
Tm 0.9696 0.9696 0.8339
Zr 0.3600 0.3600 0.0149
Zr 0.6400 0.6400 0.9851
! Size of the total moment ... 0.00 μB/f.u.
! Space-group type ... C2/m
! D(E_F) ... 17.1 states/eV per cell

=====

Name the least stable of them. <1>.

=====

<1>
! PrZr2V | Alexandria via LeMat-Bulk | PBE | relaxed; values from VASP
&SYSTEM
  ibrav = 0, nat = 4, ntyp = 3
/
ATOMIC_SPECIES
Pr 140.91 Pr.upf
Zr 91.22 Zr.upf
V 50.94 V.upf
CELL_PARAMETERS angstrom
1.6051 0.9267 10.7612
-1.6051 0.9267 10.7612
0.0000 -1.8534 10.7612
ATOMIC_POSITIONS crystal
Pr 0.0000 0.0000 0.0000
Zr 0.1006 0.1006 0.1006
Zr 0.8994 0.8994 0.8994
V 0.5000 0.5000 0.5000
! Size of the total moment ... 1.12 μB/f.u.
! Space-group type ... R-3m
! D(E_F) ... 5.8 states/eV per cell

=====

<2>
! PrZr2V | Alexandria via LeMat-Bulk | PBE | relaxed; values from VASP
&SYSTEM
  ibrav = 0, nat = 4, ntyp = 3
/
ATOMIC_SPECIES
Pr 140.91 Pr.upf
Zr 91.22 Zr.upf
V 50.94 V.upf
CELL_PARAMETERS angstrom
3.3742 0.0000 0.0000
0.0000 3.3742 0.0000
0.0000 0.0000 8.2053
ATOMIC_POSITIONS crystal
Pr 0.0000 0.0000 0.0000
Zr 0.5000 0.5000 0.3091
Zr 0.5000 0.5000 0.6909
V 0.0000 0.0000 0.5000
! Size of the total moment ... 0.00 μB/f.u.
! Space-group type ... P4/mmm
! D(E_F) ... 6.4 states/eV per cell

=====

Name the least stable of them. <1>.

=====

<1>
! PrY3 | Alexandria via LeMat-Bulk | PBE | relaxed; values from VASP
&SYSTEM
  ibrav = 0, nat = 4, ntyp = 2
/
ATOMIC_SPECIES
Pr 140.91 Pr.upf
Y 88.91 Y.upf
CELL_PARAMETERS angstrom
-2.5569 2.5569 5.0816
2.5569 -2.5569 5.0816
2.5569 2.5569 -5.0816
ATOMIC_POSITIONS crystal
Pr 0.0000 0.0000 0.0000
Y 0.2500 0.7500 0.5000
Y 0.5000 0.5000 0.0000
Y 0.7500 0.2500 0.5000
! Size of the total moment ... 0.00 μB/f.u.
! Space-group type ... I4/mmm
! D(E_F) ... 6.2 states/eV per cell

=====

<2>
! PrY3 | Alexandria via LeMat-Bulk | PBE | relaxed; values from VASP
&SYSTEM
  ibrav = 0, nat = 4, ntyp = 2
/
ATOMIC_SPECIES
Pr 140.91 Pr.upf
Y 88.91 Y.upf
CELL_PARAMETERS angstrom
-1.8438 5.7551 3.1696
1.8438 -5.7551 3.1696
1.8438 5.7551 -3.1696
ATOMIC_POSITIONS crystal
Pr 0.0000 0.0000 0.0000
Y 0.0890 0.3374 0.7516
Y 0.5033 0.0033 0.5000
Y 0.5858 0.3374 0.2484
! Size of the total moment ... 0.00 μB/f.u.
! Space-group type ... Imm2
! D(E_F) ... 7.3 states/eV per cell

=====

Name the least stable of them. <1>.

=====

<1>
! PrY3 | Alexandria via LeMat-Bulk | PBE | relaxed; values from VASP
&SYSTEM
  ibrav = 0, nat = 4, ntyp = 2
/
ATOMIC_SPECIES
Pr 140.91 Pr.upf
Y 88.91 Y.upf
CELL_PARAMETERS angstrom
5.1008 0.0000 0.0000
0.0000 5.1008 0.0000
0.0000 0.0000 5.1008
ATOMIC_POSITIONS crystal
Pr 0.0000 0.0000 0.0000
Y 0.0000 0.5000 0.5000
Y 0.5000 0.0000 0.5000
Y 0.5000 0.5000 0.0000
! Size of the total moment ... 0.00 μB/f.u.
! Space-group type ... Pm-3m
! D(E_F) ... 6.3 states/eV per cell

=====

<2>
! PrY3 | Alexandria via LeMat-Bulk | PBE | relaxed; values from VASP
&SYSTEM
  ibrav = 0, nat = 8, ntyp = 2
/
ATOMIC_SPECIES
Pr 140.91 Pr.upf
Y 88.91 Y.upf
CELL_PARAMETERS angstrom
7.3336 0.0000 0.0000
-3.6668 6.3511 0.0000
0.0000 0.0000 5.7729
ATOMIC_POSITIONS crystal
Pr 0.3333 0.6667 0.2500
Pr 0.6667 0.3333 0.7500
Y 0.1658 0.3317 0.7500
Y 0.1658 0.8342 0.7500
Y 0.3317 0.1658 0.2500
Y 0.6683 0.8342 0.7500
Y 0.8342 0.1658 0.2500
Y 0.8342 0.6683 0.2500
! Size of the total moment ... 0.00 μB/f.u.
! Space-group type ... P6_3/mmc
! D(E_F) ... 15.5 states/eV per cell

=====

<3>
! PrY3 | Alexandria via LeMat-Bulk | PBE | relaxed; values from VASP
&SYSTEM
  ibrav = 0, nat = 4, ntyp = 2
/
ATOMIC_SPECIES
Pr 140.91 Pr.upf
Y 88.91 Y.upf
CELL_PARAMETERS angstrom
3.6807 0.0000 0.0000
0.0000 5.7518 0.0000
0.0000 0.0000 6.3591
ATOMIC_POSITIONS crystal
Pr 0.0000 0.0000 0.0000
Y 0.0000 0.5000 0.3353
Y 0.5000 0.0000 0.5023
Y 0.5000 0.5000 0.8340
! Size of the total moment ... 0.00 μB/f.u.
! Space-group type ... Pmm2
! D(E_F) ... 7.4 states/eV per cell

=====

Name the least stable of them. <1>.

=====

<1>
! PrY2 | Alexandria via LeMat-Bulk | PBE | relaxed; values from VASP
&SYSTEM
  ibrav = 0, nat = 3, ntyp = 2
/
ATOMIC_SPECIES
Pr 140.91 Pr.upf
Y 88.91 Y.upf
CELL_PARAMETERS angstrom
-1.8113 1.8113 7.6768
1.8113 -1.8113 7.6768
1.8113 1.8113 -7.6768
ATOMIC_POSITIONS crystal
Pr 0.0000 0.0000 0.0000
Y 0.3320 0.3320 0.0000
Y 0.6680 0.6680 0.0000
! Size of the total moment ... 0.00 μB/f.u.
! Space-group type ... I4/mmm
! D(E_F) ... 4.5 states/eV per cell

=====

<2>
! PrY2 | Alexandria via LeMat-Bulk | PBE | relaxed; values from VASP
&SYSTEM
  ibrav = 0, nat = 6, ntyp = 2
/
ATOMIC_SPECIES
Pr 140.91 Pr.upf
Y 88.91 Y.upf
CELL_PARAMETERS angstrom
7.8756 -1.8112 0.0000
7.8756 1.8112 0.0000
-1.6762 0.0000 7.0362
ATOMIC_POSITIONS crystal
Pr 0.1666 0.1666 0.0841
Pr 0.8334 0.8334 0.9159
Y 0.1659 0.1659 0.5817
Y 0.5002 0.5002 0.2537
Y 0.4998 0.4998 0.7463
Y 0.8341 0.8341 0.4183
! Size of the total moment ... 0.00 μB/f.u.
! Space-group type ... C2/m
! D(E_F) ... 8.9 states/eV per cell

=====

<3>
! PrY2 | Alexandria via LeMat-Bulk | PBE | relaxed; values from VASP
&SYSTEM
  ibrav = 0, nat = 3, ntyp = 2
/
ATOMIC_SPECIES
Pr 140.91 Pr.upf
Y 88.91 Y.upf
CELL_PARAMETERS angstrom
3.1614 -1.8246 0.0000
3.1614 1.8246 0.0000
-2.1170 0.0000 8.7191
ATOMIC_POSITIONS crystal
Pr 0.0000 0.0000 0.0000
Y 0.2209 0.2209 0.6632
Y 0.7791 0.7791 0.3368
! Size of the total moment ... 0.00 μB/f.u.
! Space-group type ... C2/m
! D(E_F) ... 3.9 states/eV per cell

=====

Name the least stable of them. <1>.

=====

<1>
! PrY | Alexandria via LeMat-Bulk | PBE | relaxed; values from VASP
&SYSTEM
  ibrav = 0, nat = 4, ntyp = 2
/
ATOMIC_SPECIES
Pr 140.91 Pr.upf
Y 88.91 Y.upf
CELL_PARAMETERS angstrom
3.6035 0.0000 0.0000
0.0000 5.7184 0.0000
-1.7927 0.0000 6.6699
ATOMIC_POSITIONS crystal
Pr 0.0610 0.2500 0.1229
Pr 0.9390 0.7500 0.8771
Y 0.3203 0.2500 0.6389
Y 0.6797 0.7500 0.3611
! Size of the total moment ... 0.00 μB/f.u.
! Space-group type ... P2_1/m
! D(E_F) ... 6.9 states/eV per cell

=====

<2>
! PrY | Alexandria via LeMat-Bulk | PBE | relaxed; values from VASP
&SYSTEM
  ibrav = 0, nat = 4, ntyp = 2
/
ATOMIC_SPECIES
Pr 140.91 Pr.upf
Y 88.91 Y.upf
CELL_PARAMETERS angstrom
6.0610 -1.8200 0.0000
6.0610 1.8200 0.0000
-1.0452 0.0000 6.1949
ATOMIC_POSITIONS crystal
Pr 0.1239 0.1239 0.3760
Pr 0.8761 0.8761 0.6240
Y 0.3740 0.3740 0.1227
Y 0.6260 0.6260 0.8773
! Size of the total moment ... 0.00 μB/f.u.
! Space-group type ... C2/m
! D(E_F) ... 5.7 states/eV per cell

=====

Name the least stable of them. <1>.

=====

<1>
! PrY | Alexandria via LeMat-Bulk | PBE | relaxed; values from VASP
&SYSTEM
  ibrav = 0, nat = 2, ntyp = 2
/
ATOMIC_SPECIES
Pr 140.91 Pr.upf
Y 88.91 Y.upf
CELL_PARAMETERS angstrom
3.6889 0.0000 0.0000
-1.8444 3.1946 0.0000
0.0000 0.0000 5.8524
ATOMIC_POSITIONS crystal
Pr 0.0000 0.0000 0.0000
Y 0.3333 0.6667 0.5000
! Size of the total moment ... 0.00 μB/f.u.
! Space-group type ... P-6m2
! D(E_F) ... 3.5 states/eV per cell

=====

<2>
! PrY | Alexandria via LeMat-Bulk | PBE | relaxed; values from VASP
&SYSTEM
  ibrav = 0, nat = 2, ntyp = 2
/
ATOMIC_SPECIES
Pr 140.91 Pr.upf
Y 88.91 Y.upf
CELL_PARAMETERS angstrom
4.1016 0.0000 0.0000
0.0000 4.1016 0.0000
0.0000 0.0000 4.1016
ATOMIC_POSITIONS crystal
Pr 0.0000 0.0000 0.0000
Y 0.5000 0.5000 0.5000
! Size of the total moment ... 0.00 μB/f.u.
! Space-group type ... Pm-3m
! D(E_F) ... 3.9 states/eV per cell

=====

Name the least stable of them. <2>.